This record from Alexandria describes a relaxed structure of Pm3Tm6Zr. The functional is PBE-GGA.

Cell: 11.077 4.927 11.123 Å, 90.00 90.16 90.00°
Space group P2_1/m (No. 11)
Unique sites:
Pm 0.002 0.250 0.247 (multiplicity 2)
Pm 0.203 0.750 0.349 (multiplicity 2)
Pm 0.401 0.250 0.450 (multiplicity 2)
Tm 0.101 0.250 0.554 (multiplicity 2)
Tm 0.107 0.750 0.047 (multiplicity 2)
Tm 0.206 0.250 0.855 (multiplicity 2)
Tm 0.303 0.750 0.662 (multiplicity 2)
Tm 0.312 0.250 0.138 (multiplicity 2)
Tm 0.497 0.250 0.768 (multiplicity 2)
Zr 0.408 0.750 0.955 (multiplicity 2)

Output
- Formation energy from the elements: 42 meV per atom
- Density of states at the Fermi level: 1.37 states/eV per atom